Material: TiPtPb3
Method: DFT, PBE
State: relaxed

Lattice parameters (Å, degrees): 5.3303 5.3303 5.3303 90.00 90.00 90.00
Sites, in units of the cell vectors:
Pb: 0.0000 0.5000 0.0000
Pb: 0.5000 0.0000 0.0000
Pb: 0.0000 0.0000 0.5000
Pt: 0.5000 0.5000 0.5000
Ti: 0.0000 0.0000 0.0000

Calculated values
symmetry = Pm-3m (221)
energy of formation = 0.723 eV per atom
total DFT energy (no corrections) = -4.290 eV/atom